1.
VASP calculation (PBE) on an optimized crystal structure of ZrAl2Br.

Unit cell a=4.864 b=4.864 c=4.864 alpha=60.00 beta=60.00 gamma=60.00
Fractional positions:
Al  0.250  0.250  0.250
Al  0.000  0.000  0.000
Zr  0.750  0.750  0.750
Br  0.500  0.500  0.500

energy relative to the lowest polymorph listed for this composition	1.814	eV/f.u.
spin magnetization	0.86	μB/f.u.

=====

2.
VASP calculation (PBE) on an optimized crystal structure of ZrAlBr.

Unit cell a=4.580 b=4.580 c=4.580 alpha=60.00 beta=60.00 gamma=60.00
Fractional positions:
Al  0.500  0.500  0.500
Zr  0.000  0.000  0.000
Br  0.750  0.750  0.750

total energy	-4.282	eV per atom
spin magnetization	0.00	μB/f.u.

=====

3.
VASP calculation (PBE) on an optimized crystal structure of ZrAlBr.

Unit cell a=7.602 b=7.602 c=3.224 alpha=77.76 beta=77.76 gamma=24.49
Fractional positions:
Al  0.957  0.957  0.043
Zr  0.337  0.337  0.663
Br  0.706  0.706  0.294

total energy	-5.040	eV per atom
spin magnetization	0.00	μB/f.u.

=====

4.
VASP calculation (PBE) on an optimized crystal structure of ZrAl2Br.

Unit cell a=4.985 b=4.985 c=4.985 alpha=60.00 beta=60.00 gamma=60.00
Fractional positions:
Zr  0.500  0.500  0.500
Br  0.000  0.000  0.000
Al  0.250  0.250  0.250
Al  0.750  0.750  0.750

energy relative to the lowest polymorph listed for this composition	2.817	eV/f.u.
spin magnetization	0.00	μB/f.u.

=====

5.
VASP calculation (PBE) on an optimized crystal structure of ZrAl2Br.

Unit cell a=5.604 b=5.604 c=5.604 alpha=136.61 beta=136.61 gamma=63.03
Fractional positions:
Br  0.500  0.500  0.000
Al  0.000  0.000  0.000
Al  0.250  0.750  0.500
Zr  0.750  0.250  0.500

energy relative to the lowest polymorph listed for this composition	1.523	eV/f.u.
spin magnetization	0.00	μB/f.u.

=====

6.
VASP calculation (PBE) on an optimized crystal structure of ZrAl2Br.

Unit cell a=4.649 b=3.357 c=6.305 alpha=57.88 beta=90.00 gamma=90.00
Fractional positions:
Al  0.000  0.494  0.506
Al  0.000  0.006  0.994
Br  0.500  0.250  0.250
Zr  0.500  0.750  0.750

energy relative to the lowest polymorph listed for this composition	0.805	eV/f.u.
spin magnetization	0.00	μB/f.u.

=====

7.
VASP calculation (PBE) on an optimized crystal structure of ZrAl2Br.

Unit cell a=9.073 b=9.073 c=9.073 alpha=20.92 beta=20.92 gamma=20.92
Fractional positions:
Br  0.250  0.250  0.250
Al  0.000  0.000  0.000
Al  0.500  0.500  0.500
Zr  0.750  0.750  0.750

energy relative to the lowest polymorph listed for this composition	0.538	eV/f.u.
spin magnetization	0.00	μB/f.u.

=====

8.
VASP calculation (PBE) on an optimized crystal structure of ZrAl2Br.

Unit cell a=5.650 b=5.650 c=5.650 alpha=138.23 beta=138.23 gamma=60.56
Fractional positions:
Br  0.250  0.750  0.500
Zr  0.750  0.250  0.500
Al  0.000  0.000  0.000
Al  0.500  0.500  0.000

energy relative to the lowest polymorph listed for this composition	1.066	eV/f.u.
spin magnetization	0.00	μB/f.u.

=====

9.
VASP calculation (PBE) on an optimized crystal structure of AlC3.

Unit cell a=5.123 b=5.123 c=5.123 alpha=30.10 beta=30.10 gamma=30.10
Fractional positions:
Al  0.000  0.000  0.000
C  0.232  0.232  0.232
C  0.768  0.768  0.768
C  0.500  0.500  0.500

energy relative to the lowest polymorph listed for this composition	4.323	eV/f.u.
calculated formation energy	1861	meV/atom
spin magnetization	0.00	μB/f.u.

=====

10.
VASP calculation (PBE) on an optimized crystal structure of AlC3.

Unit cell a=6.873 b=6.873 c=2.510 alpha=90.00 beta=90.00 gamma=140.60
Fractional positions:
C  0.034  0.276  0.250
C  0.807  0.193  0.750
C  0.193  0.807  0.250
C  0.966  0.724  0.750
C  0.276  0.034  0.750
C  0.724  0.966  0.250
Al  0.656  0.344  0.250
Al  0.344  0.656  0.750

energy relative to the lowest polymorph listed for this composition	3.297	eV/f.u.
calculated formation energy	1605	meV/atom
spin magnetization	0.00	μB/f.u.

=====

11.
VASP calculation (PBE) on an optimized crystal structure of AlC.

Unit cell a=6.151 b=5.064 c=6.502 alpha=90.00 beta=90.00 gamma=90.00
Fractional positions:
C  0.191  0.355  0.074
C  0.306  0.122  0.215
C  0.691  0.145  0.926
C  0.309  0.645  0.574
C  0.694  0.622  0.285
C  0.806  0.378  0.785
C  0.194  0.878  0.715
C  0.809  0.855  0.426
Al  0.631  0.583  0.594
Al  0.878  0.988  0.715
Al  0.369  0.083  0.906
Al  0.622  0.012  0.215
Al  0.378  0.512  0.285
Al  0.131  0.917  0.406
Al  0.122  0.488  0.785
Al  0.869  0.417  0.094

energy relative to the lowest polymorph listed for this composition	0.446	eV/f.u.
calculated formation energy	448	meV/atom
spin magnetization	0.00	μB/f.u.

=====

12.
VASP calculation (PBE) on an optimized crystal structure of AlC3.

Unit cell a=3.747 b=3.747 c=8.112 alpha=41.76 beta=41.76 gamma=38.76
Fractional positions:
C  0.302  0.302  0.502
C  0.698  0.698  0.498
C  0.500  0.500  0.500
Al  0.000  0.000  0.000

energy relative to the lowest polymorph listed for this composition	0.000	eV/f.u.
calculated formation energy	781	meV/atom
spin magnetization	0.00	μB/f.u.